Record 1
5
Lattice="5.012 0.000 0.000 0.000 5.012 0.000 0.000 0.000 5.205" Properties=species:S:1:pos:R:3 comment="ScCdSCl2 | Alexandria | PBE | optimized geometry" final_energy_ev_per_atom=-3.47 n_ef_per_ev_atom=1.228 e_above_lowest_polymorph_kj_per_mol_atoms=69.8 e_form_raw_ev_per_atom=-0.4524 space_group=P4/mmm rho_g_cm3=3.3 pbc="T T T"
Sc 0.000 0.000 0.000
Cd 2.506 2.506 2.603
S 2.506 2.506 0.000
Cl 0.000 2.506 2.603
Cl 2.506 0.000 2.603

***

Record 2
3
Lattice="5.181 0.000 0.000 -2.591 4.487 0.000 0.000 0.000 3.080" Properties=species:S:1:pos:R:3 comment="TmHfIn | Alexandria | PBE | optimized geometry" final_energy_ev_per_atom=-5.58 formation_energy_ev_per_atom=0.137 n_ef_per_ev_atom=1.354 e_above_lowest_polymorph_kj_per_mol_atoms=33.7 space_group=P3m1 rho_g_cm3=10.7 pbc="T T T"
Tm 0.000 0.000 0.000
Hf 2.591 1.496 0.020
In 0.000 2.991 1.546

***

Record 3
20
Lattice="5.426 -7.693 0.000 5.426 7.693 0.000 -5.386 0.000 8.151" Properties=species:S:1:pos:R:3 comment="Pm5Sm2Ho3 | Alexandria | PBE | optimized geometry" final_energy_ev_per_atom=-4.50 formation_energy_ev_per_atom=0.189 n_ef_per_ev_atom=1.857 space_group=C2/c rho_g_cm3=7.4 pbc="T T T"
Pm 1.387 7.218 6.113
Pm -1.348 1.813 5.898
Pm 1.387 4.143 6.113
Pm 4.080 3.548 2.038
Pm 1.345 -1.813 1.822
Pm 4.122 1.813 6.329
Pm 1.387 -3.548 6.113
Pm 4.080 -4.143 2.038
Pm 6.815 -1.813 2.253
Pm 4.080 -7.218 2.038
Sm 1.445 1.880 3.647
Sm -1.248 -1.880 7.723
Sm 6.715 1.880 0.428
Sm 4.022 -1.880 4.504
Ho 1.451 1.860 0.398
Ho -1.242 -1.860 4.473
Ho 4.080 0.361 2.038
Ho 1.387 -0.361 6.113
Ho 6.709 1.860 3.678
Ho 4.016 -1.860 7.753

***

Record 4
5
Lattice="-1.907 1.907 8.488 1.907 -1.907 8.488 1.907 1.907 -8.488" Properties=species:S:1:pos:R:3 comment="YHg2As2 | Alexandria | PBE | optimized geometry" final_energy_ev_per_atom=-3.32 formation_energy_ev_per_atom=-0.044 n_ef_per_ev_atom=0.662 e_above_lowest_polymorph_kj_per_mol_atoms=32.8 space_group=I4/mmm rho_g_cm3=8.6 pbc="T T T"
Y 0.000 0.000 0.000
Hg 0.000 0.000 6.713
Hg 0.000 0.000 10.264
As 1.907 0.000 4.244
As 0.000 1.907 4.244